A relaxed NpPd5Au2 crystal. Source: the Alexandria database, functional GGA-PBE.

magnetization: 3.09 μB per formula unit
total energy: -5.947 eV per atom
distance to the lowest polymorph of the same formula: 0.10 eV per formula unit
energy of formation: -0.2643 eV per atom
space group: Pbam, No. 55

Unit cell a=4.2263 b=5.7499 c=11.3744 alpha=90.00 beta=90.00 gamma=90.00
With the nearest neighbours (Å) after each atom.
Fractional coordinates of all 16 atoms:
Np 0.0000 0.0000 0.5000  8 Pd 2.76-2.87, 4 Au 3.06
Np 0.0000 0.5000 0.0000  8 Pd 2.76-2.87, 4 Au 3.06
Pd 0.0000 0.0000 0.0000  2 Np 2.87, 4 Au 2.89, 6 Pd 2.94
Pd 0.0000 0.5000 0.5000  2 Np 2.87, 4 Au 2.89, 6 Pd 2.94
Pd 0.0000 0.5245 0.7579  1 Np 2.76, 4 Au 2.86-2.91, 7 Pd 2.88-2.98
Pd 0.0000 0.4755 0.2421  1 Np 2.76, 4 Au 2.86-2.91, 7 Pd 2.88-2.98
Pd 0.0000 0.9755 0.2579  1 Np 2.76, 4 Au 2.86-2.91, 7 Pd 2.88-2.98
Pd 0.0000 0.0245 0.7421  1 Np 2.76, 4 Au 2.86-2.91, 7 Pd 2.88-2.98
Pd 0.5000 0.2659 0.8802  4 Au 2.79-2.97, 2 Np 2.85, 6 Pd 2.93-2.98
Pd 0.5000 0.7341 0.1198  4 Au 2.79-2.97, 2 Np 2.85, 6 Pd 2.93-2.98
Pd 0.5000 0.2341 0.3802  4 Au 2.79-2.97, 2 Np 2.85, 6 Pd 2.93-2.98
Pd 0.5000 0.7659 0.6198  4 Au 2.79-2.97, 2 Np 2.85, 6 Pd 2.93-2.98
Au 0.5000 0.2814 0.6328  10 Pd 2.79-2.97, 2 Np 3.06
Au 0.5000 0.7186 0.3672  10 Pd 2.79-2.97, 2 Np 3.06
Au 0.5000 0.2186 0.1328  10 Pd 2.79-2.97, 2 Np 3.06
Au 0.5000 0.7814 0.8672  10 Pd 2.79-2.97, 2 Np 3.06